No. 1
This record from Alexandria describes a relaxed PmSn2Pd crystal. The functional is GGA-PBE.

```
PmSn2Pd
1.0
4.3568 0.0000 0.0000
0.0000 19.7980 0.0000
0.0000 0.0000 4.5754
Pm Sn Pd
4 8 4
Cartesian
0.0000 2.1007 1.1439
0.0000 17.6973 3.4316
2.1784 7.7983 3.4316
2.1784 11.9997 1.1439
0.0000 5.0120 3.4316
0.0000 9.0910 1.1439
0.0000 10.7071 3.4316
0.0000 14.7860 1.1439
2.1784 0.8081 3.4316
2.1784 4.8870 1.1439
2.1784 14.9110 3.4316
2.1784 18.9900 1.1439
0.0000 6.5107 1.1439
0.0000 13.2873 3.4316
2.1784 3.3883 3.4316
2.1784 16.4097 1.1439
```

Output
N(E_F)	7.10	states/eV/cell
space-group type	Cmcm, No. 63
magnetic moment	0.0	μB/cell
distance to the lowest polymorph of the same formula	9.2	meV/atom
formation energy from the elements	-695	meV per atom



No. 2
This record from Alexandria describes a relaxed PmPuPaGe crystal. The functional is GGA-PBE.

```
PmPuPaGe
1.0
7.2782 0.0000 0.0000
0.0000 7.2782 0.0000
0.0000 0.0000 7.2782
Pm Pu Pa Ge
4 4 4 4
Cartesian
0.0000 0.0000 0.0000
0.0000 3.6391 3.6391
3.6391 0.0000 3.6391
3.6391 3.6391 0.0000
0.0000 0.0000 3.6391
0.0000 3.6391 0.0000
3.6391 0.0000 0.0000
3.6391 3.6391 3.6391
1.8196 1.8196 1.8196
1.8196 5.4587 5.4587
5.4587 1.8196 5.4587
5.4587 5.4587 1.8196
1.8196 1.8196 5.4587
1.8196 5.4587 1.8196
5.4587 1.8196 1.8196
5.4587 5.4587 5.4587
```

Output
N(E_F)	22.36	states/eV/cell
space-group type	F-43m, No. 216
magnetic moment	27.7	μB/cell
formation energy from the elements	22	meV per atom



No. 3
This record from Alexandria describes a relaxed Ba3NdAg2O6 crystal. The functional is GGA-PBE.

```
Ba3NdAg2O6
1.0
6.4300 0.0000 0.0000
-3.2150 5.5685 0.0000
0.0000 0.0000 6.9113
Ba Nd Ag O
3 1 2 6
Cartesian
0.0000 0.0000 0.0000
0.0000 3.7123 4.2013
3.2150 1.8562 2.7100
0.0000 0.0000 3.4556
0.0000 3.7123 0.9073
3.2150 1.8562 6.0040
0.0000 1.8557 2.0792
-1.6079 4.6407 2.0792
1.6071 0.9278 4.8320
1.6079 4.6407 2.0792
4.8229 0.9278 4.8320
3.2150 3.7128 4.8320
```

Output
N(E_F)	7.55	states/eV/cell
space-group type	P-3m1, No. 164
magnetic moment	0.8	μB/cell
E_form (uncorrected)	-21.08	eV/f.u.



No. 4
This record from Alexandria describes a relaxed Zn2HgOs crystal. The functional is GGA-PBE.

```
Zn2HgOs
1.0
2.8490 0.0000 0.0000
0.0000 3.8937 0.0000
-0.0165 0.0000 5.8511
Zn Hg Os
2 1 1
Cartesian
-0.0009 0.0000 1.2410
2.8334 0.0000 4.6101
1.4162 1.9468 2.9255
1.4245 1.9468 0.0000
```

Output
N(E_F)	2.63	states/eV/cell
space-group type	P2/m, No. 10
magnetic moment	0.0	μB/cell
formation energy from the elements	338	meV per atom



No. 5
This record from Alexandria describes a relaxed Ba4LaIn crystal. The functional is GGA-PBE.

```
Ba4LaIn
1.0
0.0000 5.2708 5.2708
5.2708 0.0000 5.2708
5.2708 5.2708 0.0000
Ba La In
4 1 1
Cartesian
1.3124 1.3124 1.3124
3.9584 3.9584 1.3124
3.9584 1.3124 3.9584
1.3124 3.9584 3.9584
5.2708 5.2708 5.2708
7.9062 7.9062 7.9062
```

Output
N(E_F)	10.24	states/eV/cell
space-group type	F-43m, No. 216
magnetic moment	2.4	μB/cell
formation energy from the elements	359	meV per atom



No. 6
This record from Alexandria describes a relaxed Li2AlAg crystal. The functional is GGA-PBE.

```
Li2AlAg
1.0
5.3679 0.0000 0.0000
0.0000 9.0794 0.0000
-0.9512 0.0000 2.6605
Li Al Ag
4 2 2
Cartesian
1.3420 2.2699 0.0000
1.3420 6.8096 0.0000
4.0259 2.2699 0.0000
4.0259 6.8096 0.0000
-0.4756 0.0000 1.3302
2.2083 4.5397 1.3302
-0.4756 4.5397 1.3302
2.2083 0.0000 1.3302
```

Output
N(E_F)	2.19	states/eV/cell
space-group type	C2/m, No. 12
magnetic moment	0.0	μB/cell
formation energy from the elements	-158	meV per atom



No. 7
This record from Alexandria describes a relaxed HoThScZn crystal. The functional is GGA-PBE.

```
HoThScZn
1.0
3.4836 0.0000 0.0000
0.0000 3.4836 0.0000
0.0000 0.0000 8.2669
Ho Th Sc Zn
1 1 1 1
Cartesian
0.0000 0.0000 0.0000
1.7418 1.7418 2.5121
0.0000 0.0000 4.8269
1.7418 1.7418 6.3886
```

Output
N(E_F)	5.35	states/eV/cell
space-group type	P4mm, No. 99
magnetic moment	0.0	μB/cell
distance to the lowest polymorph of the same formula	0.0	meV/atom
formation energy from the elements	-168	meV per atom



No. 8
This record from Alexandria describes a relaxed ScTaHg2W crystal. The functional is GGA-PBE.

```
ScTaHg2W
1.0
5.2700 0.0000 0.0000
0.0000 5.2700 0.0000
0.0000 0.0000 4.7371
Sc Ta Hg W
1 1 2 1
Cartesian
0.0000 0.0000 0.0000
2.6350 2.6350 0.0000
0.0000 2.6350 2.3685
2.6350 0.0000 2.3685
2.6350 2.6350 2.3685
```

Output
N(E_F)	4.12	states/eV/cell
space-group type	P4/mmm, No. 123
magnetic moment	0.4	μB/cell
formation energy from the elements	1109	meV per atom



Calculated values (g/cm³) of mass density for the records, taken in order: 8.23, 11.93, 5.82, 13.35, 4.55, 3.81, 8.40, 10.24.